[1]
VASP calculation (PBE) on an optimized crystal structure of Zr6CuHg.

a = 7.8364 Å, b = 7.8369 Å, c = 5.5417 Å
α = 44.96°, β = 44.99°, γ = 59.96°
Element x y z (fractional)
1 Zr 0.9989 0.5011 0.7466
2 Zr 0.7534 0.9996 0.7460
3 Zr 0.5001 0.2466 0.2526
4 Zr 0.2466 0.0004 0.2540
5 Zr 0.0011 0.4989 0.2534
6 Zr 0.4999 0.7534 0.7474
7 Cu 0.0000 0.0000 0.0000
8 Hg 0.5000 0.5000 0.5000

Values from the calculation:
**VASP energy**: -56.3 eV/cell
**Crystal system**: trigonal
**Mass density**: 7.93 g/cm3



[2]
VASP calculation (PBE) on an optimized crystal structure of ZrCuHg2.

a = 3.1641 Å, b = 3.2335 Å, c = 7.7801 Å
α = 90.00°, β = 90.00°, γ = 90.00°
Element x y z (fractional)
1 Cu 0.5000 0.5000 0.7490
2 Hg 0.0000 0.0000 0.9602
3 Hg 0.5000 0.5000 0.2590
4 Zr 0.0000 0.0000 0.5318

Values from the calculation:
**VASP energy**: -13.3 eV/cell
**Crystal system**: orthorhombic
**Mass density**: 11.60 g/cm3



[3]
VASP calculation (PBE) on an optimized crystal structure of ZrCuHg.

a = 4.3245 Å, b = 3.1555 Å, c = 8.3386 Å
α = 79.09°, β = 90.00°, γ = 90.00°
Element x y z (fractional)
1 Cu 0.7500 0.4604 0.0792
2 Cu 0.2500 0.5396 0.9208
3 Hg 0.7500 0.2963 0.4074
4 Hg 0.2500 0.7037 0.5926
5 Zr 0.7500 0.0993 0.8015
6 Zr 0.2500 0.9007 0.1985

Values from the calculation:
**VASP energy**: -26.7 eV/cell
**Crystal system**: orthorhombic
**Mass density**: 10.56 g/cm3



[4]
VASP calculation (PBE) on an optimized crystal structure of ZrCuHg2.

a = 4.9376 Å, b = 4.9376 Å, c = 5.5590 Å
α = 79.08°, β = 79.08°, γ = 37.63°
Element x y z (fractional)
1 Cu 0.2495 0.2495 0.2615
2 Hg 0.9907 0.9907 0.0186
3 Hg 0.7513 0.7513 0.7433
4 Zr 0.5085 0.5085 0.4766

Values from the calculation:
**VASP energy**: -12.9 eV/cell
**Crystal system**: monoclinic
**Mass density**: 11.39 g/cm3



[5]
VASP calculation (PBE) on an optimized crystal structure of ZrCuHg4.

a = 5.7495 Å, b = 5.7495 Å, c = 5.7495 Å
α = 60.00°, β = 60.00°, γ = 60.00°
Element x y z (fractional)
1 Zr 0.7500 0.7500 0.7500
2 Cu 0.0000 0.0000 0.0000
3 Hg 0.8746 0.3751 0.3751
4 Hg 0.3751 0.3751 0.8746
5 Hg 0.3751 0.8746 0.3751
6 Hg 0.3751 0.3751 0.3751

Values from the calculation:
**VASP energy**: -11.1 eV/cell
**Crystal system**: cubic
**Mass density**: 11.83 g/cm3



[6]
VASP calculation (PBE) on an optimized crystal structure of Zr4CuHg.

a = 5.7065 Å, b = 5.7065 Å, c = 5.7065 Å
α = 60.00°, β = 60.00°, γ = 60.00°
Element x y z (fractional)
1 Zr 0.8747 0.3751 0.3751
2 Zr 0.3751 0.3751 0.8747
3 Zr 0.3751 0.8747 0.3751
4 Zr 0.3751 0.3751 0.3751
5 Cu 0.7500 0.7500 0.7500
6 Hg 0.0000 0.0000 0.0000

Values from the calculation:
**VASP energy**: -36.1 eV/cell
**Crystal system**: cubic
**Mass density**: 7.95 g/cm3



[7]
VASP calculation (PBE) on an optimized crystal structure of ZrCuHg.

a = 6.1228 Å, b = 6.1233 Å, c = 3.1273 Å
α = 75.20°, β = 75.21°, γ = 29.59°
Element x y z (fractional)
1 Cu 0.9992 0.9992 0.0008
2 Hg 0.3475 0.3475 0.6525
3 Zr 0.6533 0.6533 0.3467

Values from the calculation:
**VASP energy**: -13.1 eV/cell
**Crystal system**: tetragonal
**Mass density**: 10.57 g/cm3



[8]
VASP calculation (PBE) on an optimized crystal structure of ZrCuHg.

a = 4.6433 Å, b = 4.6433 Å, c = 2.9627 Å
α = 90.00°, β = 90.00°, γ = 120.00°
Element x y z (fractional)
1 Cu 0.0000 0.0000 0.1671
2 Hg 0.6667 0.3333 0.1663
3 Zr 0.3333 0.6667 0.6666

Values from the calculation:
**VASP energy**: -13.2 eV/cell
**Crystal system**: hexagonal
**Mass density**: 10.67 g/cm3



[9]
VASP calculation (PBE) on an optimized crystal structure of Zr2CuHg2.

a = 7.0262 Å, b = 7.0262 Å, c = 4.5369 Å
α = 90.00°, β = 90.00°, γ = 90.00°
Element x y z (fractional)
1 Cu 0.0000 0.0000 0.0000
2 Cu 0.5000 0.5000 0.0000
3 Hg 0.1563 0.6563 0.5000
4 Hg 0.6563 0.8437 0.5000
5 Hg 0.8437 0.3437 0.5000
6 Hg 0.3437 0.1563 0.5000
7 Zr 0.3506 0.8506 0.0000
8 Zr 0.8506 0.6494 0.0000
9 Zr 0.6494 0.1494 0.0000
10 Zr 0.1494 0.3506 0.0000

Values from the calculation:
**VASP energy**: -41.5 eV/cell
**Crystal system**: tetragonal
**Mass density**: 9.60 g/cm3



[10]
VASP calculation (PBE) on an optimized crystal structure of Zr4CuHg.

a = 5.3901 Å, b = 6.8682 Å, c = 6.8682 Å
α = 90.00°, β = 90.00°, γ = 90.00°
Element x y z (fractional)
1 Zr 0.0000 0.1655 0.6414
2 Zr 0.0000 0.8345 0.3586
3 Zr 0.0000 0.3586 0.1655
4 Zr 0.0000 0.6414 0.8345
5 Zr 0.5000 0.8345 0.6414
6 Zr 0.5000 0.1655 0.3586
7 Zr 0.5000 0.6414 0.1655
8 Zr 0.5000 0.3586 0.8345
9 Cu 0.2500 0.5000 0.5000
10 Cu 0.7500 0.5000 0.5000
11 Hg 0.2500 0.0000 0.0000
12 Hg 0.7500 0.0000 0.0000

Values from the calculation:
**VASP energy**: -77.7 eV/cell
**Crystal system**: tetragonal
**Mass density**: 8.22 g/cm3



[11]
VASP calculation (PBE) on an optimized crystal structure of ZrCuHg2.

a = 4.7879 Å, b = 4.7879 Å, c = 4.7879 Å
α = 60.00°, β = 60.00°, γ = 60.00°
Element x y z (fractional)
1 Cu 0.0000 0.0000 0.0000
2 Hg 0.2500 0.2500 0.2500
3 Hg 0.7500 0.7500 0.7500
4 Zr 0.5000 0.5000 0.5000

Values from the calculation:
**VASP energy**: -13.2 eV/cell
**Crystal system**: cubic
**Mass density**: 11.89 g/cm3



[12]
VASP calculation (PBE) on an optimized crystal structure of ZrCuHg2.

a = 3.2461 Å, b = 3.2448 Å, c = 7.2918 Å
α = 90.00°, β = 90.00°, γ = 90.00°
Element x y z (fractional)
1 Cu 0.5000 0.5000 0.7500
2 Hg 0.0000 0.0000 0.9705
3 Hg 0.0000 0.0000 0.5295
4 Zr 0.5000 0.5000 0.2500

Values from the calculation:
**VASP energy**: -13.3 eV/cell
**Crystal system**: tetragonal
**Mass density**: 12.02 g/cm3



[13]
VASP calculation (PBE) on an optimized crystal structure of Zr3CuHg.

a = 4.9100 Å, b = 4.9100 Å, c = 4.9100 Å
α = 90.00°, β = 90.00°, γ = 90.00°
Element x y z (fractional)
1 Cu 0.0000 0.0000 0.0000
2 Hg 0.5000 0.5000 0.5000
3 Zr 0.0000 0.5000 0.0000
4 Zr 0.0000 0.0000 0.5000
5 Zr 0.5000 0.0000 0.0000

Values from the calculation:
**VASP energy**: -28.1 eV/cell
**Crystal system**: cubic
**Mass density**: 7.54 g/cm3



[14]
VASP calculation (PBE) on an optimized crystal structure of Ho3Cu.

a = 3.6022 Å, b = 5.2399 Å, c = 6.3663 Å
α = 114.30°, β = 106.43°, γ = 90.00°
Element x y z (fractional)
1 Ho 0.2947 0.7103 0.5893
2 Ho 0.5000 0.4159 0.0000
3 Ho 0.7053 0.1209 0.4107
4 Cu 0.0000 0.9195 0.0000

Values from the calculation:
**VASP energy**: -18.1 eV/cell
**Crystal system**: orthorhombic
**Mass density**: 8.91 g/cm3



[15]
VASP calculation (PBE) on an optimized crystal structure of HoCu5.

a = 4.9698 Å, b = 4.9698 Å, c = 4.9698 Å
α = 60.00°, β = 60.00°, γ = 60.00°
Element x y z (fractional)
1 Ho 0.0000 0.0000 0.0000
2 Cu 0.1283 0.6239 0.6239
3 Cu 0.6239 0.1283 0.6239
4 Cu 0.2500 0.2500 0.2500
5 Cu 0.6239 0.6239 0.1283
6 Cu 0.6239 0.6239 0.6239

Values from the calculation:
**VASP energy**: -26.2 eV/cell
**Crystal system**: cubic
**Mass density**: 9.23 g/cm3



[16]
VASP calculation (PBE) on an optimized crystal structure of Ho2Cu3.

a = 3.5434 Å, b = 4.2940 Å, c = 12.8810 Å
α = 90.00°, β = 97.91°, γ = 90.00°
Element x y z (fractional)
1 Ho 0.2958 0.7500 0.5915
2 Ho 0.7042 0.2500 0.4085
3 Ho 0.5713 0.7500 0.1426
4 Ho 0.4287 0.2500 0.8574
5 Cu 0.1713 0.7500 0.3425
6 Cu 0.8287 0.2500 0.6575
7 Cu 0.8823 0.7500 0.7646
8 Cu 0.1177 0.2500 0.2354
9 Cu 0.0227 0.2500 0.0453
10 Cu 0.9773 0.7500 0.9547

Values from the calculation:
**VASP energy**: -45.4 eV/cell
**Crystal system**: orthorhombic
**Mass density**: 8.90 g/cm3



[17]
VASP calculation (PBE) on an optimized crystal structure of HoCu5.

a = 5.0162 Å, b = 4.0957 Å, c = 5.0308 Å
α = 90.00°, β = 120.45°, γ = 90.00°
Element x y z (fractional)
1 Ho 0.0837 0.0000 0.0002
2 Cu 0.4156 0.0000 0.6666
3 Cu 0.7517 0.0000 0.3336
4 Cu 0.5829 0.5000 0.9999
5 Cu 0.5831 0.5000 0.5000
6 Cu 0.0831 0.5000 0.4997

Values from the calculation:
**VASP energy**: -26.2 eV/cell
**Crystal system**: monoclinic
**Mass density**: 8.99 g/cm3



[18]
VASP calculation (PBE) on an optimized crystal structure of Ho2Cu17.

a = 6.4491 Å, b = 6.4491 Å, c = 6.4491 Å
α = 82.73°, β = 82.73°, γ = 82.73°
Element x y z (fractional)
1 Ho 0.3408 0.3408 0.3408
2 Ho 0.6592 0.6592 0.6592
3 Cu 0.6535 0.6535 0.1545
4 Cu 0.1545 0.6535 0.6535
5 Cu 0.9017 0.9017 0.9017
6 Cu 0.0983 0.0983 0.0983
7 Cu 0.0000 0.0000 0.5000
8 Cu 0.0000 0.5000 0.0000
9 Cu 0.5000 0.0000 0.0000
10 Cu 0.2967 0.7033 0.0000
11 Cu 0.7033 0.0000 0.2967
12 Cu 0.0000 0.2967 0.7033
13 Cu 0.7033 0.2967 0.0000
14 Cu 0.2967 0.0000 0.7033
15 Cu 0.0000 0.7033 0.2967
16 Cu 0.8455 0.3465 0.3465
17 Cu 0.3465 0.3465 0.8455
18 Cu 0.3465 0.8455 0.3465
19 Cu 0.6535 0.1545 0.6535

Values from the calculation:
**VASP energy**: -81.1 eV/cell
**Crystal system**: trigonal
**Mass density**: 8.93 g/cm3



[19]
VASP calculation (PBE) on an optimized crystal structure of Ho3Cu.

a = 4.8795 Å, b = 6.2399 Å, c = 7.5188 Å
α = 90.00°, β = 90.00°, γ = 113.02°
Element x y z (fractional)
1 Ho 0.4559 0.9119 0.7500
2 Ho 0.5441 0.0881 0.2500
3 Ho 0.1478 0.2956 0.9677
4 Ho 0.8522 0.7044 0.0323
5 Ho 0.8522 0.7044 0.4677
6 Ho 0.1478 0.2956 0.5323
7 Cu 0.7013 0.4026 0.7500
8 Cu 0.2987 0.5974 0.2500

Values from the calculation:
**VASP energy**: -36.2 eV/cell
**Crystal system**: orthorhombic
**Mass density**: 8.80 g/cm3



[20]
VASP calculation (PBE) on an optimized crystal structure of HoCu3.

a = 4.0112 Å, b = 5.1373 Å, c = 6.8143 Å
α = 90.00°, β = 90.00°, γ = 112.98°
Element x y z (fractional)
1 Ho 0.5718 0.1437 0.2500
2 Ho 0.4282 0.8563 0.7500
3 Cu 0.7183 0.4366 0.7500
4 Cu 0.2817 0.5634 0.2500
5 Cu 0.1343 0.2687 0.5607
6 Cu 0.8657 0.7313 0.4393
7 Cu 0.1343 0.2687 0.9393
8 Cu 0.8657 0.7313 0.0607

Values from the calculation:
**VASP energy**: -35.5 eV/cell
**Crystal system**: orthorhombic
**Mass density**: 9.13 g/cm3